[1]
{
  "formula": "LiBiS2Cl",
  "functional": "PBE",
  "state": "relaxed",
  "magmom_total_mub_per_atom": 0.00,
  "polymorph_energy_ev_per_atom": 0.000,
  "mass_density_g_cm3": 3.466,
  "e_form_raw_ev_per_atom": -0.277,
  "cell": [[5.241, 0.000, 0.000], [0.000, 5.241, 0.000], [0.000, 0.000, 5.503]],
  "species": ["Li", "Bi", "S", "S", "Cl"],
  "fractional_positions": [[0.000, 0.000, 0.000], [0.500, 0.500, 0.500], [0.000, 0.500, 0.500], [0.500, 0.000, 0.500], [0.500, 0.500, 0.000]]
}

***

[2]
{
  "formula": "ErNpBiO6",
  "functional": "PBE",
  "state": "relaxed",
  "magmom_total_mub_per_atom": 0.11,
  "mass_density_g_cm3": 8.498,
  "e_form_raw_ev_per_atom": -2.573,
  "cell": [[5.768, 0.000, 0.000], [-2.884, 4.995, 0.000], [0.000, 0.000, 9.621]],
  "species": ["Er", "Er", "Np", "Np", "Bi", "Bi", "O", "O", "O", "O", "O", "O", "O", "O", "O", "O", "O", "O"],
  "fractional_positions": [[0.333, 0.667, 0.250], [0.667, 0.333, 0.750], [0.333, 0.667, 0.750], [0.667, 0.333, 0.250], [0.000, 0.000, 0.000], [0.000, 0.000, 0.500], [0.023, 0.363, 0.636], [0.023, 0.659, 0.864], [0.341, 0.363, 0.864], [0.341, 0.977, 0.636], [0.363, 0.023, 0.136], [0.363, 0.341, 0.364], [0.637, 0.659, 0.636], [0.637, 0.977, 0.864], [0.659, 0.023, 0.364], [0.659, 0.637, 0.136], [0.977, 0.341, 0.136], [0.977, 0.637, 0.364]]
}

***

[3]
{
  "formula": "HfIn2Sn",
  "functional": "PBE",
  "state": "relaxed",
  "ef_ev_per_atom": -0.0055,
  "magmom_total_mub_per_atom": 0.00,
  "mass_density_g_cm3": 9.389,
  "cell": [[4.318, 0.000, 0.000], [0.000, 4.318, 0.000], [0.000, 0.000, 4.998]],
  "species": ["Hf", "In", "In", "Sn"],
  "fractional_positions": [[0.000, 0.000, 0.000], [0.000, 0.500, 0.500], [0.500, 0.000, 0.500], [0.500, 0.500, 0.000]]
}